Compound: Ho3MnO
Source: the Alexandria database
Functional: PBE with a Hubbard U
Structure: optimized geometry

Calculated values
density of states at the Fermi level = 3.741 states/eV per cell
mass density = 8.66 g/cm3
spin magnetization = 4.2 μB per formula unit
uncorrected energy = -6.302 eV/atom

Cell lengths 4.7691, 4.7691, 4.7691 Å; angles 90.00, 90.00, 90.00 degrees
Closest atoms and distances in Å follow each position.
Sites, in units of the cell vectors:
Ho 0.0000 0.0000 0.5000  2 O 2.38
Ho 0.0000 0.5000 0.0000  2 O 2.38
Ho 0.5000 0.0000 0.0000  2 O 2.38
Mn 0.5000 0.5000 0.5000  12 Ho 3.37
O 0.0000 0.0000 0.0000  6 Ho 2.38